Entry 1:
Here is a relaxed AlGa2SnS6 crystal from Alexandria. Energies are from GGA-PBE.

Uncorrected energy ... -176.99 eV for the cell shown
D(E_F) ... 0.272 states/eV per atom
Formation energy from raw total energies ... -0.57 eV per atom
Mass density ... 3.421 Mg/m³

Cell lengths 12.403, 11.672, 6.829 Å; angles 90.00, 110.31, 90.00 degrees
Space group C2/c (No. 15)
Inequivalent atoms, fractional coordinates:
Al: 0.000 0.196 0.250
Ga: 0.172 0.430 0.703
Sn: 0.000 0.119 0.750
S: 0.117 0.068 0.158
S: 0.129 0.246 0.566
S: 0.131 0.414 0.001


Entry 2:
Here is a relaxed Sr2AlGaS5 crystal from Alexandria. Energies are from GGA-PBE.

Uncorrected energy ... -174.43 eV for the cell shown
D(E_F) ... 0.000 states/eV per atom
Formation energy from raw total energies ... -1.43 eV per atom
Mass density ... 3.533 Mg/m³

Cell lengths 3.750, 17.926, 12.090 Å; angles 90.00, 90.00, 90.00 degrees
Space group Cmc2_1 (No. 36)
Inequivalent atoms, fractional coordinates:
Sr: 0.000 0.115 0.000
Sr: 0.000 0.125 0.625
Al: 0.000 0.224 0.346
Ga: 0.000 0.437 0.769
S: 0.000 0.046 0.377
S: 0.000 0.284 0.978
S: 0.000 0.312 0.714
S: 0.000 0.349 0.316
S: 0.000 0.496 0.605


Entry 3:
Here is a relaxed Sr2AlGaS crystal from Alexandria. Energies are from GGA-PBE.

Uncorrected energy ... -15.53 eV for the cell shown
D(E_F) ... 0.181 states/eV per atom
Formation energy from raw total energies ... -0.25 eV per atom
Mass density ... 3.034 Mg/m³

Cell lengths 6.065, 6.065, 4.523 Å; angles 90.00, 90.00, 90.00 degrees
Space group P4/mmm (No. 123)
Inequivalent atoms, fractional coordinates:
Sr: 0.000 0.500 0.000
Al: 0.000 0.000 0.000
Ga: 0.000 0.000 0.500
S: 0.500 0.500 0.500


Entry 4:
Here is a relaxed SrAlGaS2 crystal from Alexandria. Energies are from GGA-PBE.

Uncorrected energy ... -17.11 eV for the cell shown
D(E_F) ... 0.200 states/eV per atom
Formation energy from raw total energies ... -0.08 eV per atom
Mass density ... 3.086 Mg/m³

Cell lengths 4.707, 4.707, 6.035 Å; angles 90.00, 90.00, 90.00 degrees
Space group P4/mmm (No. 123)
Inequivalent atoms, fractional coordinates:
Sr: 0.000 0.000 0.000
Al: 0.000 0.000 0.500
Ga: 0.500 0.500 0.000
S: 0.000 0.500 0.500


Entry 5:
Here is a relaxed SrAlGa2S6 crystal from Alexandria. Energies are from GGA-PBE.

Uncorrected energy ... -181.60 eV for the cell shown
Formation energy from raw total energies ... -0.92 eV per atom
Mass density ... 2.856 Mg/m³

Cell lengths 12.888, 12.254, 7.450 Å; angles 90.00, 118.06, 90.00 degrees
Space group C2/c (No. 15)
Inequivalent atoms, fractional coordinates:
Sr: 0.000 0.145 0.250
Al: 0.000 0.176 0.750
Ga: 0.183 0.425 0.123
S: 0.117 0.060 0.680
S: 0.119 0.441 0.378
S: 0.124 0.249 0.051


Entry 6:
Here is a relaxed TbAlGa2S6 crystal from Alexandria. Energies are from GGA-PBE.

Uncorrected energy ... -197.88 eV for the cell shown
D(E_F) ... 0.000 states/eV per atom
Formation energy from raw total energies ... -1.03 eV per atom
Mass density ... 3.781 Mg/m³

Cell lengths 12.871, 10.895, 7.064 Å; angles 90.00, 113.36, 90.00 degrees
Space group C2/c (No. 15)
Inequivalent atoms, fractional coordinates:
Tb: 0.000 0.159 0.250
Al: 0.000 0.186 0.750
Ga: 0.187 0.440 0.195
S: 0.112 0.060 0.650
S: 0.129 0.249 0.053
S: 0.137 0.403 0.467


Entry 7:
Here is a relaxed AlGaTeS crystal from Alexandria. Energies are from GGA-PBE.

Uncorrected energy ... -16.21 eV for the cell shown
Formation energy from raw total energies ... -0.54 eV per atom
Mass density ... 3.581 Mg/m³

Cell lengths 3.8782, 3.8782, 9.1258 Å; angles 90.00, 90.00, 120.00 degrees
Space group P3m1 (No. 156)
Inequivalent atoms, fractional coordinates:
Al: 0.0000 0.0000 0.0000
Ga: 0.0000 0.0000 0.7275
Te: 0.6667 0.3333 0.5751
S: 0.3333 0.6667 0.0988


Entry 8:
Here is a relaxed AlTl2GaS4 crystal from Alexandria. Energies are from GGA-PBE.

Uncorrected energy ... -67.45 eV for the cell shown
D(E_F) ... 0.000 states/eV per atom
Formation energy from raw total energies ... -0.71 eV per atom
Mass density ... 5.072 Mg/m³

Cell lengths 6.969, 6.969, 8.543 Å; angles 90.00, 90.00, 90.00 degrees
Space group I-4 (No. 82)
Inequivalent atoms, fractional coordinates:
Al: 0.000 0.000 0.000
Tl: 0.000 0.000 0.500
Tl: 0.000 0.500 0.750
Ga: 0.000 0.500 0.250
S: 0.149 0.249 0.122


- Among the records above, which one has the highest formation energy from raw total energies?
  SrAlGaS2